FeNiI2 | PBE-GGA | relaxed

Calculated values
* volume: 105.94 Å³/f.u.
* E_form (uncorrected): 0.30 eV/atom
* offset from the most stable computed form: 0.000 eV per atom
* energy: -4.04 eV per atom
* density: 5.77 g/cm³

```
data_FeNiI2
_chemical_formula_sum 'Fe4 Ni4 I8'
_symmetry_space_group_name_H-M 'I -4 2 d'
_symmetry_Int_Tables_number 122
_symmetry_space_group_name_Hall 'I -4 2bw'
_cell_length_a 5.975
_cell_length_b 5.975
_cell_length_c 11.871
_cell_angle_alpha 90.00
_cell_angle_beta 90.00
_cell_angle_gamma 90.00
loop_
_atom_site_label
_atom_site_type_symbol
_atom_site_fract_x
_atom_site_fract_y
_atom_site_fract_z
_atom_site_occupancy
Fe1 Fe 0.000 0.000 0.000 1
Ni1 Ni 0.000 0.000 0.500 1
I1 I 0.238 0.250 0.625 1
```

BaCa2Ir | PBE-GGA | relaxed

Calculated values
* volume: 142.63 Å³/f.u.
* offset from the most stable computed form: 0.151 eV per atom
* energy: -3.78 eV per atom
* density: 4.77 g/cm³
* energy relative to the elements: -0.4 eV per formula unit

```
data_BaCa2Ir
_chemical_formula_sum 'Ba2 Ca4 Ir2'
_symmetry_space_group_name_H-M 'I m m 2'
_symmetry_Int_Tables_number 44
_symmetry_space_group_name_Hall 'I 2 -2'
_cell_length_a 3.588
_cell_length_b 4.985
_cell_length_c 15.950
_cell_angle_alpha 90.00
_cell_angle_beta 90.00
_cell_angle_gamma 90.00
loop_
_atom_site_label
_atom_site_type_symbol
_atom_site_fract_x
_atom_site_fract_y
_atom_site_fract_z
_atom_site_occupancy
Ba1 Ba 0.000 0.000 0.000 1
Ca1 Ca 0.000 0.000 0.693 1
Ca2 Ca 0.000 0.500 0.836 1
Ir1 Ir 0.000 0.500 0.336 1
```

Ca2FeTe | PBE-GGA | relaxed

Calculated values
* volume: 112.32 Å³/f.u.
* E_form (uncorrected): -0.09 eV/atom
* offset from the most stable computed form: 0.278 eV per atom
* energy: -3.99 eV per atom
* density: 3.90 g/cm³

```
data_Ca2FeTe
_chemical_formula_sum 'Ca2 Fe1 Te1'
_symmetry_space_group_name_H-M 'P 4 m m'
_symmetry_Int_Tables_number 99
_symmetry_space_group_name_Hall 'P 4 -2'
_cell_length_a 3.691
_cell_length_b 3.691
_cell_length_c 8.244
_cell_angle_alpha 90.00
_cell_angle_beta 90.00
_cell_angle_gamma 90.00
loop_
_atom_site_label
_atom_site_type_symbol
_atom_site_fract_x
_atom_site_fract_y
_atom_site_fract_z
_atom_site_occupancy
Ca1 Ca 0.000 0.000 0.000 1
Ca2 Ca 0.500 0.500 0.380 1
Fe1 Fe 0.000 0.000 0.618 1
Te1 Te 0.500 0.500 0.758 1
```

HgMo2Ir | PBE-GGA | relaxed

Calculated values
* volume: 65.92 Å³/f.u.
* energy: -7.48 eV per atom
* density: 14.73 g/cm³
* energy relative to the elements: 0.9 eV per formula unit

```
data_HgMo2Ir
_chemical_formula_sum 'Hg1 Mo2 Ir1'
_symmetry_space_group_name_H-M 'P 1 2/m 1'
_symmetry_Int_Tables_number 10
_symmetry_space_group_name_Hall '-P 2y'
_cell_length_a 2.796
_cell_length_b 4.158
_cell_length_c 5.670
_cell_angle_alpha 90.00
_cell_angle_beta 90.04
_cell_angle_gamma 90.00
loop_
_atom_site_label
_atom_site_type_symbol
_atom_site_fract_x
_atom_site_fract_y
_atom_site_fract_z
_atom_site_occupancy
Hg1 Hg 0.000 0.000 0.000 1
Mo1 Mo 0.498 0.500 0.724 1
Ir1 Ir 0.000 0.000 0.500 1
```

NpAgHgGe | PBE-GGA | relaxed

Calculated values
* volume: 87.12 Å³/f.u.
* energy: -5.09 eV per atom
* density: 11.78 g/cm³
* energy relative to the elements: 0.4 eV per formula unit

```
data_NpAgHgGe
_chemical_formula_sum 'Np4 Ag4 Hg4 Ge4'
_symmetry_space_group_name_H-M 'F -4 3 m'
_symmetry_Int_Tables_number 216
_symmetry_space_group_name_Hall 'F -4 2 3'
_cell_length_a 7.037
_cell_length_b 7.037
_cell_length_c 7.037
_cell_angle_alpha 90.00
_cell_angle_beta 90.00
_cell_angle_gamma 90.00
loop_
_atom_site_label
_atom_site_type_symbol
_atom_site_fract_x
_atom_site_fract_y
_atom_site_fract_z
_atom_site_occupancy
Np1 Np 0.000 0.000 0.000 1
Ag1 Ag 0.000 0.000 0.500 1
Hg1 Hg 0.250 0.250 0.750 1
Ge1 Ge 0.250 0.250 0.250 1
```

ZrZnCo2 | PBE-GGA | relaxed

Calculated values
* volume: 55.17 Å³/f.u.
* energy: -6.25 eV per atom
* density: 8.26 g/cm³
* energy relative to the elements: -1.0 eV per formula unit

```
data_ZrZnCo2
_chemical_formula_sum 'Zr1 Zn1 Co2'
_symmetry_space_group_name_H-M 'P 4/m m m'
_symmetry_Int_Tables_number 123
_symmetry_space_group_name_Hall '-P 4 2'
_cell_length_a 4.082
_cell_length_b 4.082
_cell_length_c 3.311
_cell_angle_alpha 90.00
_cell_angle_beta 90.00
_cell_angle_gamma 90.00
loop_
_atom_site_label
_atom_site_type_symbol
_atom_site_fract_x
_atom_site_fract_y
_atom_site_fract_z
_atom_site_occupancy
Zr1 Zr 0.000 0.000 0.000 1
Zn1 Zn 0.500 0.500 0.000 1
Co1 Co 0.000 0.500 0.500 1
```

Sc3Co3Si2 | PBE-GGA | relaxed

Calculated values
* volume: 118.30 Å³/f.u.
* E_form (uncorrected): -0.51 eV/atom
* offset from the most stable computed form: 0.107 eV per atom
* energy: -6.91 eV per atom
* density: 5.16 g/cm³

```
data_Sc3Co3Si2
_chemical_formula_sum 'Sc12 Co12 Si8'
_symmetry_space_group_name_H-M 'C m c m'
_symmetry_Int_Tables_number 63
_symmetry_space_group_name_Hall '-C 2c 2'
_cell_length_a 3.743
_cell_length_b 8.627
_cell_length_c 14.654
_cell_angle_alpha 90.00
_cell_angle_beta 90.00
_cell_angle_gamma 90.00
loop_
_atom_site_label
_atom_site_type_symbol
_atom_site_fract_x
_atom_site_fract_y
_atom_site_fract_z
_atom_site_occupancy
Sc1 Sc 0.000 0.075 0.250 1
Sc2 Sc 0.000 0.146 0.048 1
Co1 Co 0.000 0.347 0.250 1
Co2 Co 0.000 0.460 0.096 1
Si1 Si 0.000 0.190 0.649 1
```

LiCa2B2Ir5 | PBE-GGA | relaxed

Calculated values
* volume: 142.24 Å³/f.u.
* energy: -6.68 eV per atom
* density: 12.49 g/cm³
* energy relative to the elements: -3.2 eV per formula unit

```
data_LiCa2B2Ir5
_chemical_formula_sum 'Li2 Ca4 B4 Ir10'
_symmetry_space_group_name_H-M 'P 4/m b m'
_symmetry_Int_Tables_number 127
_symmetry_space_group_name_Hall '-P 4 2ab'
_cell_length_a 9.735
_cell_length_b 9.735
_cell_length_c 3.002
_cell_angle_alpha 90.00
_cell_angle_beta 90.00
_cell_angle_gamma 90.00
loop_
_atom_site_label
_atom_site_type_symbol
_atom_site_fract_x
_atom_site_fract_y
_atom_site_fract_z
_atom_site_occupancy
Li1 Li 0.000 0.000 0.000 1
Ca1 Ca 0.177 0.323 0.000 1
B1 B 0.126 0.626 0.000 1
Ir1 Ir 0.000 0.500 0.500 1
Ir2 Ir 0.068 0.781 0.500 1
```